Entry 1:
The following is a GGA+U calculation of a relaxed structure of CrH4C4NO10, from Alexandria.

a b c (Å): 6.8945 7.4040 10.0641
angles (deg): 90.00 101.86 90.00
Last column: nearest neighbours and their distance in Å.
Space group C2/m (No. 12)
Symmetry-distinct sites (fractional):
Cr  0.0000  0.0000  0.0000  6 O 2.01-2.03
H  0.1986  0.3887  0.1099  1 O 1.00
C  0.2294  0.1048  0.2538  2 O 1.23-1.31
N  0.0000  0.5000  0.5000  4 O 2.22
O  0.1246  0.1781  0.1435  1 C 1.31
O  0.1722  0.3108  0.6504  1 C 1.23
O  0.2427  0.5000  0.0683  2 H 1.00

Properties
Magnetization, μB/f.u.: 5.000
E_tot, eV per formula unit: -132.05

Entry 2:
The following is a GGA+U calculation of a relaxed structure of Na2CrH5C4O11, from Alexandria.

a b c (Å): 9.6257 8.9171 12.6495
angles (deg): 90.00 101.84 90.00
Last column: nearest neighbours and their distance in Å.
Space group P2_1/c (No. 14)
Symmetry-distinct sites (fractional):
Na  0.1350  0.1661  0.0119  6 O 2.42-2.56
Na  0.3562  0.1514  0.2820  5 O 2.34-2.56
Cr  0.1047  0.5593  0.9356  6 O 2.00-2.03
H  0.0999  0.6300  0.1323  1 O 0.99
H  0.2498  0.6972  0.3175  1 O 0.98
H  0.2692  0.5368  0.2781  1 O 0.98
H  0.4010  0.5179  0.5851  1 O 0.99
H  0.4350  0.1454  0.0549  1 O 0.98
C  0.0497  0.5550  0.7089  2 O 1.24-1.30
C  0.0736  0.1444  0.7577  2 O 1.25-1.29
C  0.3666  0.6890  0.0294  2 O 1.25-1.29
C  0.3753  0.5212  0.0660  2 O 1.24-1.30
O  0.0269  0.6157  0.0653  1 H 0.99
O  0.0476  0.5306  0.6123  1 C 1.24
O  0.0518  0.1808  0.6568  1 C 1.29
O  0.1480  0.5113  0.7894  1 C 1.30
O  0.1842  0.1727  0.8256  1 C 1.25
O  0.2445  0.6380  0.2511  2 H 0.98
O  0.2531  0.7240  0.9598  1 C 1.29
O  0.2661  0.0587  0.5214  1 C 1.30
O  0.3770  0.0879  0.0960  2 H 0.98-0.99
O  0.4654  0.7224  0.5664  1 C 1.25
O  0.4805  0.0264  0.6308  1 C 1.24

Properties
Magnetization, μB/f.u.: 2.959
E_tot, eV per formula unit: -149.10

Entry 3:
The following is a GGA+U calculation of a relaxed structure of RbCrH4C4O10, from Alexandria.

a b c (Å): 6.8626 7.2692 10.3924
angles (deg): 90.00 91.05 90.00
Last column: nearest neighbours and their distance in Å.
Space group C2/m (No. 12)
Symmetry-distinct sites (fractional):
Rb  0.0000  0.0000  0.0000  8 O 3.04-3.10
Cr  0.0000  0.5000  0.5000  6 O 2.01-2.03
H  0.1586  0.1133  0.4003  1 O 1.00
C  0.1296  0.3928  0.2539  2 O 1.23-1.32
O  0.0702  0.3196  0.3622  1 C 1.32
O  0.1848  0.3051  0.1601  1 C 1.23
O  0.2173  0.0000  0.4401  2 H 1.00

Properties
Magnetization, μB/f.u.: 2.923
E_tot, eV per formula unit: -134.67